(1)
DFT (PBE-GGA) results for crystalline Be2SbPb at its relaxed geometry.

energy relative to the elements, uncorrected	0.70	eV per atom
ΔE to the lowest computed polymorph	398.3	meV/atom
N(E_F)	2.96	states/eV/cell

abc: 3.8909 5.5888 7.3907
angles: 90.00 90.00 90.00
Space group Cmmm (No. 65)
Inequivalent atoms, fractional coordinates:
Be (0.0000, 0.0000, 0.2250)
Sb (0.0000, 0.5000, 0.0000)
Pb (0.0000, 0.5000, 0.5000)

---

(2)
DFT (PBE-GGA) results for crystalline KV3B at its relaxed geometry.

ΔE to the lowest computed polymorph	0.0	meV/atom
N(E_F)	6.88	states/eV/cell
energy of formation	24.9	kcal/mol of atoms

abc: 4.3579 4.3579 4.3579
angles: 90.00 90.00 90.00
Space group Pm-3m (No. 221)
Inequivalent atoms, fractional coordinates:
K (0.0000, 0.0000, 0.0000)
V (0.0000, 0.5000, 0.5000)
B (0.5000, 0.5000, 0.5000)

---

(3)
DFT (PBE-GGA) results for crystalline FeSiRh2 at its relaxed geometry.

energy relative to the elements, uncorrected	-0.39	eV per atom
N(E_F)	7.06	states/eV/cell

abc: 2.8133 4.2515 8.7296
angles: 90.00 90.00 90.00
Space group Imm2 (No. 44)
Inequivalent atoms, fractional coordinates:
Fe (0.0000, 0.0000, 0.0000)
Si (0.0000, 0.5000, 0.2754)
Rh (0.0000, 0.0000, 0.5517)
Rh (0.0000, 0.5000, 0.7689)